The following is a DFT calculation (PBE) of a relaxed structure of CoHg4Bi3.

The structure in POSCAR format:
```
CoHg4Bi3
1.0
-4.2607 3.0631 -2.9959
1.9888 -2.3284 -5.2091
-3.7951 -4.6591 0.6337
Hg Co Bi
4 1 3
Direct
0.0000 0.0000 0.5000 Hg
0.0000 0.5000 0.0000 Hg
0.5000 0.5000 0.5000 Hg
0.5000 0.0000 0.0000 Hg
0.0000 0.0000 0.0000 Co
0.5000 0.0000 0.5000 Bi
0.0000 0.5000 0.5000 Bi
0.5000 0.5000 0.0000 Bi
```

Energy: -0.1544 Ry/atom

---

The following is a DFT calculation (PBE) of a relaxed structure of Co2HgBi.

The structure in POSCAR format:
```
Co2HgBi
1.0
0.0000 3.3107 3.3107
3.3107 0.0000 3.3107
3.3107 3.3107 0.0000
Co Hg Bi
2 1 1
Direct
0.7500 0.7500 0.7500 Co
0.0000 0.0000 0.0000 Co
0.2500 0.2500 0.2500 Hg
0.5000 0.5000 0.5000 Bi
```

Energy: -0.2777 Ry/atom

---

The following is a DFT calculation (PBE) of a relaxed structure of LiCoHgBi.

The structure in POSCAR format:
```
LiCoHgBi
1.0
1.7085 -4.3297 -0.1802
-0.2954 -2.7774 3.7278
-2.8971 -3.6473 -0.0368
Li Bi Hg Co
1 1 1 1
Direct
0.2500 0.2500 0.2500 Li
0.0000 0.0000 0.0000 Bi
0.5000 0.5000 0.5000 Hg
0.7500 0.7500 0.7500 Co
```

Energy relative to the lowest polymorph listed for this composition: 0 meV/atom
Energy: -0.2390 Ry/atom

---

The following is a DFT calculation (PBE) of a relaxed structure of CoHgBiMo.

The structure in POSCAR format:
```
CoHgBiMo
1.0
2.2025 -3.1180 2.8759
-1.5967 -4.4933 0.3228
2.5524 -3.5832 -1.8680
Mo Hg Bi Co
1 1 1 1
Direct
0.5000 0.5000 0.5000 Mo
0.2500 0.2500 0.2500 Hg
0.0000 0.0000 0.0000 Bi
0.7500 0.7500 0.7500 Co
```

Energy relative to the lowest polymorph listed for this composition: 162 meV/atom
Energy: -0.3415 Ry/atom

---

The following is a DFT calculation (PBE) of a relaxed structure of CoHgBiMo.

The structure in POSCAR format:
```
CoHgBiMo
1.0
0.4514 -4.6132 0.6932
2.4794 -1.5904 3.6454
-2.1843 -2.0531 3.6027
Bi Hg Mo Co
1 1 1 1
Direct
0.0000 0.0000 0.0000 Bi
0.5000 0.5000 0.5000 Hg
0.2500 0.2500 0.2500 Mo
0.7500 0.7500 0.7500 Co
```

Energy relative to the lowest polymorph listed for this composition: 0 meV/atom
Energy: -0.3534 Ry/atom

---

The following is a DFT calculation (PBE) of a relaxed structure of CoNiHgBi.

The structure in POSCAR format:
```
CoNiHgBi
1.0
2.2450 2.8367 2.8358
-1.0277 0.0591 4.4799
2.9780 -1.6954 3.0637
Hg Bi Ni Co
1 1 1 1
Direct
0.5000 0.5000 0.5000 Hg
0.0000 0.0000 0.0000 Bi
0.2500 0.2500 0.2500 Ni
0.7500 0.7500 0.7500 Co
```

Energy relative to the lowest polymorph listed for this composition: 0 meV/atom
Energy: -0.2835 Ry/atom

---

The following is a DFT calculation (PBE) of a relaxed structure of CoNiHgBi.

The structure in POSCAR format:
```
CoNiHgBi
1.0
4.6892 -0.2290 0.2059
2.0835 -2.5153 3.3788
2.2062 -4.0074 -1.0757
Co Ni Hg Bi
1 1 1 1
Direct
0.5000 0.5000 0.5000 Co
0.7500 0.7500 0.7500 Ni
0.2500 0.2500 0.2500 Hg
0.0000 0.0000 0.0000 Bi
```

Energy relative to the lowest polymorph listed for this composition: 264 meV/atom
Energy: -0.2641 Ry/atom

---

The following is a DFT calculation (PBE) of a relaxed structure of CoHgBiPd.

The structure in POSCAR format:
```
CoHgBiPd
1.0
-2.6077 0.6159 3.8914
-4.1425 -2.2280 0.4449
-0.4652 -3.5227 3.1140
Hg Co Pd Bi
1 1 1 1
Direct
0.5000 0.5000 0.5000 Hg
0.7500 0.7500 0.7500 Co
0.2500 0.2500 0.2500 Pd
0.0000 0.0000 0.0000 Bi
```

Energy relative to the lowest polymorph listed for this composition: 0 meV/atom
Energy: -0.2890 Ry/atom

---

The following is a DFT calculation (PBE) of a relaxed structure of CoReHgBi.

The structure in POSCAR format:
```
CoReHgBi
1.0
0.0000 3.2843 3.2843
3.2843 0.0000 3.2843
3.2843 3.2843 0.0000
Co Bi Re Hg
1 1 1 1
Direct
0.7500 0.7500 0.7500 Co
0.0000 0.0000 0.0000 Bi
0.2500 0.2500 0.2500 Re
0.5000 0.5000 0.5000 Hg
```

Energy relative to the lowest polymorph listed for this composition: 0 meV/atom
Energy: -0.3685 Ry/atom

---

The following is a DFT calculation (PBE) of a relaxed structure of CoReHgBi.

The structure in POSCAR format:
```
CoReHgBi
1.0
0.0000 3.3713 3.3713
3.3713 0.0000 3.3713
3.3713 3.3713 0.0000
Re Hg Bi Co
1 1 1 1
Direct
0.5000 0.5000 0.5000 Re
0.2500 0.2500 0.2500 Hg
0.0000 0.0000 0.0000 Bi
0.7500 0.7500 0.7500 Co
```

Energy relative to the lowest polymorph listed for this composition: 194 meV/atom
Energy: -0.3543 Ry/atom

---

The following is a DFT calculation (PBE) of a relaxed structure of ZnCoHgBi.

The structure in POSCAR format:
```
ZnCoHgBi
1.0
1.0081 0.7628 4.6291
-0.0498 4.4629 1.7626
-3.4755 1.3475 3.0220
Zn Co Hg Bi
1 1 1 1
Direct
0.2500 0.2500 0.2500 Zn
0.7500 0.7500 0.7500 Co
0.5000 0.5000 0.5000 Hg
0.0000 0.0000 0.0000 Bi
```

Energy relative to the lowest polymorph listed for this composition: 0 meV/atom
Energy: -0.1987 Ry/atom

---

The following is a DFT calculation (PBE) of a relaxed structure of ZrCoHgBi.

The structure in POSCAR format:
```
ZrCoHgBi
1.0
0.0000 3.4270 3.4270
3.4270 0.0000 3.4270
3.4270 3.4270 0.0000
Zr Hg Co Bi
1 1 1 1
Direct
0.2500 0.2500 0.2500 Zr
0.5000 0.5000 0.5000 Hg
0.7500 0.7500 0.7500 Co
0.0000 0.0000 0.0000 Bi
```

Energy relative to the lowest polymorph listed for this composition: 40 meV/atom
Energy: -0.3474 Ry/atom